1.
DFT (PBE-GGA) results for a relaxed structure of NaReNi.

Cell lengths 12.6130, 4.4588, 4.4588 Å; angles 130.16, 134.33, 45.67 degrees
Fractional coordinates of all 6 atoms:
Re 0.2662 0.6358 0.3642
Re 0.1099 0.2163 0.7837
Na 0.8525 0.8183 0.1817
Na 0.5837 0.8551 0.1449
Ni 0.2110 0.3975 0.6025
Ni 0.3939 0.7784 0.2216

**Symmetry**: No. 8
**Energy of formation from the pure elements**: 0.562 eV per atom
**Crystal system**: monoclinic
**Distance to the lowest polymorph of the same formula**: 317 meV per atom

***

2.
DFT (PBE-GGA) results for a relaxed structure of KMn2Ir.

Cell lengths 2.9127, 2.9132, 8.6729 Å; angles 90.00, 90.00, 90.00 degrees
Site moments in Bohr magnetons follow the coordinates.
Fractional coordinates of all 4 atoms:
Ir 0.0000 0.0000 0.4257  0.01
K 0.5000 0.5000 0.7308  0.01
Mn 0.0000 0.0000 0.0810  3.52
Mn 0.5000 0.5000 0.2625  1.77

**Symmetry**: No. 99
**Energy of formation from the pure elements**: 0.546 eV per atom
**Crystal system**: tetragonal
**Distance to the lowest polymorph of the same formula**: 53 meV per atom

***

3.
DFT (PBE-GGA) results for a relaxed structure of AcHoPtRh.

Cell lengths 5.0991, 5.0991, 5.0991 Å; angles 60.00, 60.00, 60.00 degrees
Fractional coordinates of all 4 atoms:
Ac 0.5000 0.5000 0.5000
Rh 0.2500 0.2500 0.2500
Ho 0.0000 0.0000 0.0000
Pt 0.7500 0.7500 0.7500

**Symmetry**: No. 216
**Energy of formation from the pure elements**: -0.843 eV per atom
**Crystal system**: cubic

***

4.
DFT (PBE-GGA) results for a relaxed structure of K4Pm3ThSe8.

Cell lengths 8.5998, 9.1867, 8.5999 Å; angles 117.92, 120.00, 90.00 degrees
Fractional coordinates of all 16 atoms:
K 0.5000 0.0000 0.0000
K 0.5000 0.0000 0.5000
K 0.0000 0.0000 0.0000
K 0.0000 0.0000 0.5000
Pm 0.5000 0.5000 0.0000
Pm 0.5000 0.5000 0.5000
Pm 0.0000 0.5000 0.5000
Th 0.0000 0.5000 0.0000
Se 0.2355 0.7120 0.9765
Se 0.2355 0.7120 0.4711
Se 0.2627 0.2882 0.5254
Se 0.7410 0.7120 0.9765
Se 0.2590 0.2880 0.0235
Se 0.7373 0.7118 0.4746
Se 0.7645 0.2880 0.5289
Se 0.7645 0.2880 0.0235

**Symmetry**: No. 166
**Crystal system**: trigonal
**Formation energy without anion corrections**: -1.71 eV/atom